Entry 1:
Compound: RbPtBrCl2
Source: the Alexandria database
Functional: PBE
Structure: optimized geometry

The structure in POSCAR format:
```
RbPtBrCl2
1.0
5.014 0.000 0.000
0.000 5.014 0.000
0.000 0.000 5.288
Rb Pt Br Cl
1 1 1 2
Cartesian
0.000 0.000 0.000
2.507 2.507 2.644
2.507 2.507 0.000
0.000 2.507 2.644
2.507 0.000 2.644
```

Summary:
Its space-group type is P4/mmm (123). Its energy relative to the elements, uncorrected is -0.87 eV per atom. As for the magnetic moment: 0.00 Bohr magnetons per cell. Its crystal system is tetragonal. The calculated volume is 132.9 Å³ per cell.

---

Entry 2:
Compound: Rb2PtBr6Cl
Source: the Alexandria database
Functional: PBE
Structure: optimized geometry

The structure in POSCAR format:
```
Rb2PtBr6Cl
1.0
-3.806 3.806 5.823
3.806 -3.806 5.823
3.806 3.806 -5.823
Rb Pt Br Cl
2 1 6 1
Cartesian
3.806 0.000 2.912
0.000 3.806 2.912
0.000 0.000 0.000
0.000 0.000 2.498
1.792 1.792 0.000
2.013 -2.013 5.823
-2.013 2.013 5.823
2.013 2.013 5.823
0.000 0.000 9.149
0.000 0.000 5.823
```

Summary:
Its space-group type is I4/mmm (139). Its energy relative to the elements, uncorrected is -0.82 eV per atom. As for the magnetic moment: 0.00 Bohr magnetons per cell. Its crystal system is tetragonal. The calculated volume is 337.4 Å³ per cell.

---

Entry 3:
Compound: PtS2BrCl
Source: the Alexandria database
Functional: PBE
Structure: optimized geometry

The structure in POSCAR format:
```
PtS2BrCl
1.0
4.730 0.000 0.000
0.000 4.730 0.000
0.000 0.000 4.905
Pt S Br Cl
1 2 1 1
Cartesian
0.000 0.000 0.000
0.000 2.365 0.000
2.365 0.000 0.000
2.365 2.365 2.452
0.000 0.000 2.452
```

Summary:
Its space-group type is P4/mmm (123). Its energy relative to the elements, uncorrected is 0.47 eV per atom. As for the magnetic moment: 0.00 Bohr magnetons per cell. Its crystal system is tetragonal. The calculated volume is 109.7 Å³ per cell.

---

Entry 4:
Compound: PtSe2BrCl
Source: the Alexandria database
Functional: PBE
Structure: optimized geometry

The structure in POSCAR format:
```
PtSe2BrCl
1.0
4.961 0.000 0.000
0.000 4.961 0.000
0.000 0.000 5.199
Pt Se Br Cl
1 2 1 1
Cartesian
0.000 0.000 0.000
0.000 2.480 0.000
2.480 0.000 0.000
0.000 0.000 2.599
2.480 2.480 2.599
```

Summary:
Its space-group type is P4/mmm (123). Its energy relative to the elements, uncorrected is 0.43 eV per atom. As for the magnetic moment: 0.70 Bohr magnetons per cell. Its crystal system is tetragonal. The calculated volume is 127.9 Å³ per cell.

---

Entry 5:
Compound: PtSe2BrCl
Source: the Alexandria database
Functional: PBE
Structure: optimized geometry

The structure in POSCAR format:
```
PtSe2BrCl
1.0
5.014 0.000 0.000
0.000 5.014 0.000
0.000 0.000 5.006
Pt Se Br Cl
1 2 1 1
Cartesian
0.000 0.000 0.000
0.000 2.507 2.503
2.507 0.000 2.503
2.507 2.507 0.000
2.507 2.507 2.503
```

Summary:
Its space-group type is P4/mmm (123). Its energy relative to the elements, uncorrected is 1.34 eV per atom. As for the magnetic moment: 1.93 Bohr magnetons per cell. Its crystal system is tetragonal. The calculated volume is 125.9 Å³ per cell.

---

Entry 6:
Compound: SrPt2BrCl
Source: the Alexandria database
Functional: PBE
Structure: optimized geometry

The structure in POSCAR format:
```
SrPt2BrCl
1.0
4.712 0.000 0.000
0.000 4.712 0.000
0.000 0.000 6.333
Sr Pt Br Cl
1 2 1 1
Cartesian
0.000 0.000 0.000
0.000 2.356 3.166
2.356 0.000 3.166
2.356 2.356 3.166
2.356 2.356 0.000
```

Summary:
Its space-group type is P4/mmm (123). Its energy relative to the elements, uncorrected is -0.19 eV per atom. As for the magnetic moment: 0.00 Bohr magnetons per cell. Its crystal system is tetragonal. The calculated volume is 140.6 Å³ per cell.

---

What is the energy relative to the elements, uncorrected in the second record?
-0.82 eV per atom

---

What is the energy relative to the elements, uncorrected in the third record?
0.47 eV per atom